Computed, not measured: a relaxed SrCu2Sb crystal at the PBE-GGA level of DFT.

Summary:
* electronic total energy: -3.714 eV/atom
* ΔE_f (raw): -0.21 eV per atom
* total magnetization: 0.0 μB per formula unit

a = 4.4775 Å, b = 4.6077 Å, c = 5.0231 Å
α = 90.00°, β = 90.00°, γ = 90.00°
Last column: nearest neighbours and their distance in Å.
Element x y z (fractional)
Sr: 0.0000 0.0000 0.0000  4 Sb 3.41, 8 Cu 3.43
Cu: 0.5000 0.5000 0.2408  2 Cu 2.42-2.60, 2 Sb 2.59
Cu: 0.5000 0.5000 0.7592  2 Cu 2.42-2.60, 2 Sb 2.59
Sb: 0.0000 0.5000 0.5000  4 Cu 2.59